Entry from the Alexandria database: an optimized crystal structure of DyHPdPt2 (PBE-GGA).

a = 4.2301 Å, b = 4.1378 Å, c = 4.1378 Å
α = 90.00°, β = 90.00°, γ = 90.00°
Fractional coordinates of all 5 atoms:
Dy: 0.5000 0.5000 0.5000
H: 0.0000 0.0000 0.0000
Pd: 0.5000 0.0000 0.0000
Pt: 0.0000 0.0000 0.5000
Pt: 0.0000 0.5000 0.0000

Output
The value obtained for the volume is 72.4 Å³/cell. The total DFT energy (no corrections) is -5.81 eV/atom.

---

Entry from the Alexandria database: an optimized crystal structure of DyHPd2Rh (PBE-GGA).

a = 4.1466 Å, b = 4.1213 Å, c = 4.1213 Å
α = 90.00°, β = 90.00°, γ = 90.00°
Fractional coordinates of all 5 atoms:
Dy: 0.5000 0.5000 0.5000
H: 0.0000 0.0000 0.0000
Pd: 0.0000 0.0000 0.5000
Pd: 0.0000 0.5000 0.0000
Rh: 0.5000 0.0000 0.0000

Output
The value obtained for the volume is 70.4 Å³/cell. The total DFT energy (no corrections) is -5.79 eV/atom.

---

Entry from the Alexandria database: an optimized crystal structure of DyH4Pd2Rh (PBE-GGA).

a = 4.3585 Å, b = 4.3585 Å, c = 5.4202 Å
α = 113.19°, β = 113.19°, γ = 91.17°
Fractional coordinates of all 8 atoms:
Dy: 0.0011 0.0011 0.0021
H: 0.5401 0.5401 0.7054
H: 0.4543 0.8350 0.2892
H: 0.8350 0.4543 0.2892
H: 0.1652 0.1652 0.7054
Pd: 0.7520 0.2520 0.5040
Pd: 0.2520 0.7520 0.5040
Rh: 0.5007 0.5007 0.0014

Output
The value obtained for the volume is 85.1 Å³/cell. The total DFT energy (no corrections) is -4.89 eV/atom.

---

Entry from the Alexandria database: an optimized crystal structure of DyH8PdRh4 (PBE-GGA).

a = 5.6442 Å, b = 5.6442 Å, c = 5.6420 Å
α = 59.99°, β = 59.99°, γ = 60.00°
Fractional coordinates of all 14 atoms:
Dy: 0.3830 0.3830 0.8510
H: 0.2232 0.8526 0.7010
H: 0.8526 0.2232 0.7010
H: 0.2232 0.2232 0.7010
H: 0.2249 0.2249 0.3252
H: 0.7099 0.2643 0.3158
H: 0.2643 0.7099 0.3158
H: 0.7099 0.7099 0.3158
H: 0.7654 0.7654 0.7037
Pd: 0.9976 0.9976 0.0072
Rh: 0.6359 0.6359 0.0922
Rh: 0.0015 0.5070 0.4901
Rh: 0.5070 0.0015 0.4901
Rh: 0.0015 0.0015 0.4901

Output
The value obtained for the volume is 127.1 Å³/cell. The total DFT energy (no corrections) is -4.93 eV/atom.

---

Entry from the Alexandria database: an optimized crystal structure of DyH6Pd2Rh (PBE-GGA).

a = 4.5363 Å, b = 4.6385 Å, c = 8.7385 Å
α = 90.00°, β = 89.96°, γ = 90.00°
Fractional coordinates of all 20 atoms:
Dy: 0.5000 0.0000 0.0000
Dy: 0.0000 0.5000 0.5000
H: 0.2384 0.6550 0.1388
H: 0.7384 0.8450 0.6388
H: 0.7616 0.3450 0.8612
H: 0.2616 0.1550 0.3612
H: 0.5012 0.6724 0.4138
H: 0.0012 0.8276 0.9138
H: 0.4988 0.3276 0.5862
H: 0.9988 0.1724 0.0862
H: 0.7614 0.6555 0.1387
H: 0.2614 0.8445 0.6387
H: 0.2386 0.3445 0.8613
H: 0.7386 0.1555 0.3613
Pd: 0.0001 0.9392 0.2542
Pd: 0.5001 0.5608 0.7542
Pd: 0.9999 0.0608 0.7458
Pd: 0.4999 0.4392 0.2458
Rh: 0.5000 0.0000 0.5000
Rh: 0.0000 0.5000 0.0000

Output
The value obtained for the volume is 183.9 Å³/cell. The total DFT energy (no corrections) is -4.60 eV/atom.

---

Entry from the Alexandria database: an optimized crystal structure of Dy2SiHPd6 (PBE-GGA).

a = 6.1749 Å, b = 6.1770 Å, c = 5.7735 Å
α = 62.12°, β = 62.13°, γ = 89.37°
Fractional coordinates of all 10 atoms:
Dy: 0.7719 0.2280 0.5001
Dy: 0.2281 0.7720 0.4999
Si: 0.0000 0.0000 0.0000
H: 0.5000 0.5000 0.0000
Pd: 0.2856 0.2856 0.4649
Pd: 0.7145 0.7143 0.0372
Pd: 0.2688 0.7311 0.0000
Pd: 0.7312 0.2689 0.0000
Pd: 0.2855 0.2857 0.9629
Pd: 0.7144 0.7144 0.5351

Output
The value obtained for the volume is 165.9 Å³/cell. The total DFT energy (no corrections) is -5.64 eV/atom.